Compound: LiNdTm2Pt4
Source: Alexandria
Functional: PBE
Structure: optimized geometry

a b c (Å): 4.7411 4.7411 8.7818
angles (deg): 74.34 74.34 60.00
Last column: nearest neighbours and their distance in Å.
Fractional coordinates of all 8 atoms:
1 Li 0.5000 0.5000 0.5000  8 Pt 2.70-2.94
2 Nd 0.0000 0.0000 0.0000  8 Pt 3.11
3 Tm 0.7634 0.7634 0.7098  7 Pt 2.82-2.90
4 Tm 0.2366 0.2366 0.2902  7 Pt 2.82-2.90
5 Pt 0.3922 0.3922 0.8234  1 Li 2.70, 3 Tm 2.90
6 Pt 0.8760 0.8760 0.3721  4 Tm 2.82, 3 Li 2.94, 1 Nd 3.11
7 Pt 0.1240 0.1240 0.6279  4 Tm 2.82, 3 Li 2.94, 1 Nd 3.11
8 Pt 0.6078 0.6078 0.1766  1 Li 2.70, 3 Tm 2.90

Summary:
E_form ... -8.51 eV/f.u.
Theoretical density ... 12.977 Mg/m³
SG ... R-3m (166)